Record 1
## RbHfRe2Rh (PBE)

Data for a relaxed structure of RbHfRe2Rh.

Geometry as extended XYZ:
```
5
Lattice="4.9046 0.0000 0.0000 0.0000 4.9046 0.0000 0.0000 0.0000 4.9759" Properties=species:S:1:pos:R:3 pbc="T T T"
Rb 0.0000 0.0000 0.0000
Hf 2.4523 2.4523 0.0000
Re 0.0000 2.4523 2.4879
Re 2.4523 0.0000 2.4879
Rh 2.4523 2.4523 2.4879
```

Computed properties:
energy relative to the elements = 1.6629 eV/atom
space-group type = P4/mmm

---

Record 2
## RbHfReSb2 (PBE)

Data for a relaxed structure of RbHfReSb2.

Geometry as extended XYZ:
```
5
Lattice="5.4867 0.0000 0.0000 0.0000 5.4867 0.0000 0.0000 0.0000 6.8384" Properties=species:S:1:pos:R:3 pbc="T T T"
Rb 0.0000 0.0000 0.0000
Hf 0.0000 0.0000 3.4192
Re 2.7433 2.7433 0.0000
Sb 0.0000 2.7433 3.4192
Sb 2.7433 0.0000 3.4192
```

Computed properties:
E_form (uncorrected) = 7.96 eV/f.u.
space-group type = P4/mmm

---

Record 3
## RbSr2HfRe (PBE)

Data for a relaxed structure of RbSr2HfRe.

Geometry as extended XYZ:
```
5
Lattice="6.2290 0.0000 0.0000 0.0000 6.2290 0.0000 0.0000 0.0000 5.0685" Properties=species:S:1:pos:R:3 pbc="T T T"
Rb 0.0000 0.0000 0.0000
Sr 0.0000 3.1145 2.5342
Sr 3.1145 0.0000 2.5342
Hf 3.1145 3.1145 0.0000
Re 3.1145 3.1145 2.5342
```

Computed properties:
energy relative to the elements = 0.6799 eV/atom
space-group type = P4/mmm

---

no.,volume (Å³ per cell)
1,120
2,206
3,197